The following is a DFT calculation (GGA+U) of an optimized crystal structure of LiNbFeO4.

Cell lengths 10.7681, 6.2745, 10.7747 Å; angles 90.00, 110.01, 90.00 degrees
With the nearest neighbours (Å) after each atom.
Space group C2/c (No. 15)
Unique sites:
Li: 0.0759 0.2427 0.4292  4 O 2.00-2.14
Nb: 0.2283 0.4901 0.2294  4 O 1.89-2.00
Fe: 0.0000 0.2406 0.7500  6 O 2.09-2.27
Fe: 0.2500 0.2500 0.0000  6 O 2.05-2.27
O: 0.1293 0.2552 0.1358  1 Nb 1.89, 1 Li 2.08
O: 0.1374 0.0137 0.8564  1 Nb 1.96, 1 Li 2.00, 2 Fe 2.09-2.19
O: 0.1423 0.4712 0.8656  1 Nb 2.00, 2 Fe 2.05-2.17, 1 Li 2.13
O: 0.1460 0.2450 0.6401  2 Nb 1.97-2.16, 1 Li 2.14

## Properties
crystal system: monoclinic
spin magnetization: 32.0 Bohr magnetons per cell
total DFT energy (no corrections): -7.48 eV/atom